Entry 1:
CeAlAu, optimized geometry, DFT PBEsol; energy = -66.0 eV for the cell shown; E_form = -628.1 meV/atom
1.0
4.571 0.000 0.000
0.000 7.478 0.000
0.000 0.000 7.808
Au Al Ce
4 4 4
Direct
0.250 0.297 0.404 Au
0.250 0.797 0.096 Au
0.750 0.203 0.904 Au
0.750 0.703 0.596 Au
0.750 0.324 0.578 Al
0.750 0.824 0.922 Al
0.250 0.176 0.078 Al
0.250 0.676 0.422 Al
0.250 0.510 0.804 Ce
0.750 0.990 0.304 Ce
0.250 0.010 0.696 Ce
0.750 0.490 0.196 Ce



Entry 2:
CeAlAu, optimized geometry, DFT PBEsol; energy = -32.7 eV for the cell shown; E_form = -579.9 meV/atom
1.0
4.718 0.000 0.000
-2.359 4.085 0.000
0.000 0.000 6.320
Ce Al Au
2 2 2
Direct
0.000 0.000 0.000 Ce
0.000 0.000 0.500 Ce
0.667 0.333 0.250 Al
0.333 0.667 0.750 Al
0.333 0.667 0.250 Au
0.667 0.333 0.750 Au